Record 1
Below is PmCd2Ag10 after structural relaxation, with properties calculated at the PBE level.

Computed properties:
density of states at the Fermi level	4.4	states/eV per cell
total DFT energy (no corrections)	-35.74	eV/cell
formation enthalpy at 0 K	-0.050	eV per atom

abc: 9.6834 7.4903 7.2885
angles: 81.86 49.97 48.17
Last column: nearest neighbours and their distance in Å.
Fractional positions:
1 Pm 0.0000 0.0000 0.0000  16 Ag 3.40-3.64, 4 Cd 3.75
2 Cd 0.0000 0.5000 0.0000  2 Cd 2.78, 8 Ag 2.84-2.98
3 Cd 0.5000 0.0000 0.5000  2 Cd 2.78, 8 Ag 2.84-2.98
4 Ag 0.0000 0.0000 0.5000  10 Ag 2.78-2.94
5 Ag 0.0057 0.6486 0.3514  7 Ag 2.88-3.23, 2 Cd 2.98
6 Ag 0.2871 0.5015 0.4985  7 Ag 2.79-3.09, 2 Cd 2.84
7 Ag 0.3514 0.9943 0.0057  7 Ag 2.88-3.23, 2 Cd 2.98
8 Ag 0.4985 0.7129 0.2871  7 Ag 2.79-3.09, 2 Cd 2.84
9 Ag 0.5000 0.5000 0.0000  10 Ag 2.78-2.94
10 Ag 0.5015 0.2871 0.7129  7 Ag 2.79-3.09, 2 Cd 2.84
11 Ag 0.6486 0.0057 0.9943  7 Ag 2.88-3.23, 2 Cd 2.98
12 Ag 0.7129 0.4985 0.5015  7 Ag 2.79-3.09, 2 Cd 2.84
13 Ag 0.9943 0.3514 0.6486  7 Ag 2.88-3.23, 2 Cd 2.98

Record 2
Below is PmCd4Ag8 after structural relaxation, with properties calculated at the PBE level.

Computed properties:
density of states at the Fermi level	5.2	states/eV per cell
total DFT energy (no corrections)	-32.19	eV/cell
formation enthalpy at 0 K	-0.075	eV per atom

abc: 7.4259 7.4259 7.4259
angles: 98.38 98.38 135.11
Last column: nearest neighbours and their distance in Å.
Fractional positions:
1 Pm 0.0000 0.0000 0.0000  12 Ag 3.40-3.50, 8 Cd 3.71
2 Cd 0.0000 0.0000 0.5000  8 Ag 2.83-2.98, 2 Cd 2.83
3 Cd 0.0000 0.5000 0.0000  8 Ag 2.83-2.98, 2 Cd 2.83
4 Cd 0.5000 0.0000 0.0000  8 Ag 2.83-2.98, 2 Cd 2.83
5 Cd 0.5000 0.5000 0.5000  8 Ag 2.83-2.98, 2 Cd 2.83
6 Ag 0.0000 0.3507 0.3507  5 Ag 2.90-3.15, 4 Cd 2.98
7 Ag 0.0000 0.6493 0.6493  5 Ag 2.90-3.15, 4 Cd 2.98
8 Ag 0.2883 0.5000 0.7883  4 Cd 2.83, 6 Ag 2.91-3.15
9 Ag 0.3507 0.0000 0.3507  5 Ag 2.90-3.15, 4 Cd 2.98
10 Ag 0.5000 0.2883 0.7883  4 Cd 2.83, 6 Ag 2.91-3.15
11 Ag 0.5000 0.7117 0.2117  4 Cd 2.83, 6 Ag 2.91-3.15
12 Ag 0.6493 0.0000 0.6493  5 Ag 2.90-3.15, 4 Cd 2.98
13 Ag 0.7117 0.5000 0.2117  4 Cd 2.83, 6 Ag 2.91-3.15

Record 3
Below is Pm2Cd12Ag after structural relaxation, with properties calculated at the PBE level.

Computed properties:
density of states at the Fermi level	18.4	states/eV per cell
total DFT energy (no corrections)	-49.45	eV/cell
formation enthalpy at 0 K	-0.093	eV per atom

abc: 6.3417 6.3417 18.5169
angles: 90.00 90.00 90.00
Last column: nearest neighbours and their distance in Å.
Fractional positions:
1 Pm 0.2500 0.7500 0.2492  14 Cd 3.36-3.70
2 Pm 0.2500 0.7500 0.7508  14 Cd 3.36-3.70
3 Pm 0.7500 0.2500 0.2492  14 Cd 3.36-3.70
4 Pm 0.7500 0.2500 0.7508  14 Cd 3.36-3.70
5 Cd 0.0001 0.9999 0.4080  2 Ag 2.82, 2 Cd 2.90
6 Cd 0.9999 0.0001 0.5920  2 Ag 2.82, 2 Cd 2.90
7 Cd 0.9999 0.4999 0.4080  2 Ag 2.82, 2 Cd 2.90
8 Cd 0.0001 0.5001 0.5920  2 Ag 2.82, 2 Cd 2.90
9 Cd 0.0838 0.5838 0.0687  4 Cd 2.93-2.98
10 Cd 0.0838 0.9162 0.9313  4 Cd 2.93-2.98
11 Cd 0.2500 0.2500 0.1617  5 Cd 2.72-2.93
12 Cd 0.2500 0.2500 0.3086  5 Cd 2.72-2.90
13 Cd 0.2500 0.2500 0.6914  5 Cd 2.72-2.90
14 Cd 0.2500 0.2500 0.8383  5 Cd 2.72-2.93
15 Cd 0.4162 0.5838 0.9313  4 Cd 2.93-2.98
16 Cd 0.4162 0.9162 0.0687  4 Cd 2.93-2.98
17 Cd 0.5001 0.0001 0.4080  2 Ag 2.82, 2 Cd 2.90
18 Cd 0.4999 0.9999 0.5920  2 Ag 2.82, 2 Cd 2.90
19 Cd 0.4999 0.5001 0.4080  2 Ag 2.82, 2 Cd 2.90
20 Cd 0.5001 0.4999 0.5920  2 Ag 2.82, 2 Cd 2.90
21 Cd 0.5838 0.0838 0.9313  4 Cd 2.93-2.98
22 Cd 0.5838 0.4162 0.0687  4 Cd 2.93-2.98
23 Cd 0.7500 0.7500 0.1617  5 Cd 2.72-2.93
24 Cd 0.7500 0.7500 0.3086  5 Cd 2.72-2.90
25 Cd 0.7500 0.7500 0.6914  5 Cd 2.72-2.90
26 Cd 0.7500 0.7500 0.8383  5 Cd 2.72-2.93
27 Cd 0.9162 0.0838 0.0687  4 Cd 2.93-2.98
28 Cd 0.9162 0.4162 0.9313  4 Cd 2.93-2.98
29 Ag 0.2500 0.7500 0.5000  8 Cd 2.82
30 Ag 0.7500 0.2500 0.5000  8 Cd 2.82

Record 4
Below is Pm6Cd5Ag after structural relaxation, with properties calculated at the PBE level.

Computed properties:
density of states at the Fermi level	13.8	states/eV per cell
total DFT energy (no corrections)	-39.62	eV/cell
formation enthalpy at 0 K	-0.307	eV per atom

abc: 8.5084 8.5084 7.6730
angles: 90.00 90.00 143.18
Last column: nearest neighbours and their distance in Å.
Fractional positions:
1 Pm 0.0000 0.0000 0.2459  2 Ag 3.28, 6 Cd 3.32-3.34
2 Pm 0.0000 0.0000 0.7541  2 Ag 3.28, 6 Cd 3.32-3.34
3 Pm 0.3357 0.6643 0.2488  1 Ag 3.27, 7 Cd 3.28-3.32
4 Pm 0.3357 0.6643 0.7512  1 Ag 3.27, 7 Cd 3.28-3.32
5 Pm 0.6643 0.3357 0.2488  1 Ag 3.27, 7 Cd 3.28-3.32
6 Pm 0.6643 0.3357 0.7512  1 Ag 3.27, 7 Cd 3.28-3.32
7 Cd 0.1680 0.8320 0.5000  8 Pm 3.31-3.34
8 Cd 0.1707 0.8293 0.0000  8 Pm 3.28-3.34
9 Cd 0.5000 0.5000 0.5000  8 Pm 3.28-3.32
10 Cd 0.8293 0.1707 0.0000  8 Pm 3.28-3.34
11 Cd 0.8320 0.1680 0.5000  8 Pm 3.31-3.34
12 Ag 0.5000 0.5000 0.0000  8 Pm 3.27-3.28

Record 5
Below is Pm4Cd5Ag after structural relaxation, with properties calculated at the PBE level.

Computed properties:
density of states at the Fermi level	10.1	states/eV per cell
total DFT energy (no corrections)	-29.02	eV/cell
formation enthalpy at 0 K	-0.259	eV per atom

abc: 3.7387 3.7387 18.8707
angles: 90.00 90.00 90.00
Last column: nearest neighbours and their distance in Å.
Fractional positions:
1 Pm 0.0000 0.0000 0.1055  8 Cd 3.28-3.31
2 Pm 0.0000 0.0000 0.3134  8 Cd 3.30-3.31, 1 Ag 3.52
3 Pm 0.0000 0.0000 0.6866  8 Cd 3.30-3.31, 1 Ag 3.52
4 Pm 0.0000 0.0000 0.8945  8 Cd 3.28-3.31
5 Cd 0.5000 0.5000 0.0000  8 Pm 3.31
6 Cd 0.5000 0.5000 0.2087  8 Pm 3.28-3.30
7 Cd 0.5000 0.5000 0.4191  1 Cd 3.05, 4 Ag 3.05, 4 Pm 3.31
8 Cd 0.5000 0.5000 0.5809  1 Cd 3.05, 4 Ag 3.05, 4 Pm 3.31
9 Cd 0.5000 0.5000 0.7913  8 Pm 3.28-3.30
10 Ag 0.0000 0.0000 0.5000  8 Cd 3.05

Record 6
Below is Pm4Cd5Ag after structural relaxation, with properties calculated at the PBE level.

Computed properties:
density of states at the Fermi level	8.0	states/eV per cell
total DFT energy (no corrections)	-29.25	eV/cell
formation enthalpy at 0 K	-0.282	eV per atom

abc: 8.4561 8.4561 6.6313
angles: 106.72 106.72 35.80
Last column: nearest neighbours and their distance in Å.
Fractional positions:
1 Pm 0.0966 0.0966 0.3874  6 Cd 3.15-3.48, 2 Ag 3.23
2 Pm 0.3128 0.3128 0.1894  1 Ag 3.09, 7 Cd 3.14-3.42
3 Pm 0.6872 0.6872 0.8106  1 Ag 3.09, 7 Cd 3.14-3.42
4 Pm 0.9034 0.9034 0.6126  6 Cd 3.15-3.48, 2 Ag 3.23
5 Cd 0.0981 0.0981 0.9135  6 Pm 3.14-3.48, 2 Cd 3.18
6 Cd 0.2985 0.2985 0.6930  7 Pm 3.23-3.42, 1 Cd 3.27
7 Cd 0.5000 0.5000 0.0000  6 Cd 3.18-3.27, 2 Ag 3.32
8 Cd 0.7015 0.7015 0.3070  7 Pm 3.23-3.42, 1 Cd 3.27
9 Cd 0.9019 0.9019 0.0865  6 Pm 3.14-3.48, 2 Cd 3.18
10 Ag 0.5000 0.5000 0.5000  6 Pm 3.09-3.23, 2 Cd 3.32

Record 7
Below is Pm11Cd9Ag4 after structural relaxation, with properties calculated at the PBE level.

Computed properties:
density of states at the Fermi level	23.9	states/eV per cell
total DFT energy (no corrections)	-79.13	eV/cell
formation enthalpy at 0 K	-0.301	eV per atom

abc: 13.6152 13.6152 3.7805
angles: 90.00 90.00 112.75
Last column: nearest neighbours and their distance in Å.
Fractional positions:
1 Pm 0.0000 0.0000 0.0000  8 Cd 3.28
2 Pm 0.0632 0.4114 0.0000  2 Ag 3.07, 6 Cd 3.31-3.42
3 Pm 0.1648 0.8352 0.0000  8 Cd 3.33-3.50, 2 Pm 3.59
4 Pm 0.2869 0.2869 0.0000  4 Ag 3.07, 4 Cd 3.37
5 Pm 0.3644 0.6356 0.0000  4 Ag 3.07, 4 Cd 3.37
6 Pm 0.4114 0.0632 0.0000  2 Ag 3.07, 6 Cd 3.31-3.42
7 Pm 0.5886 0.9368 0.0000  2 Ag 3.07, 6 Cd 3.31-3.42
8 Pm 0.6356 0.3644 0.0000  4 Ag 3.07, 4 Cd 3.37
9 Pm 0.7131 0.7131 0.0000  4 Ag 3.07, 4 Cd 3.37
10 Pm 0.8352 0.1648 0.0000  8 Cd 3.33-3.50, 2 Pm 3.59
11 Pm 0.9368 0.5886 0.0000  2 Ag 3.07, 6 Cd 3.31-3.42
12 Cd 0.0652 0.2125 0.5000  1 Ag 3.23, 8 Pm 3.28-3.50, 1 Cd 3.34
13 Cd 0.1586 0.6320 0.5000  1 Cd 3.16, 1 Ag 3.21, 8 Pm 3.33-3.42
14 Cd 0.2125 0.0652 0.5000  1 Ag 3.23, 8 Pm 3.28-3.50, 1 Cd 3.34
15 Cd 0.3680 0.8414 0.5000  1 Cd 3.16, 1 Ag 3.21, 8 Pm 3.33-3.42
16 Cd 0.5000 0.5000 0.5000  4 Ag 3.18
17 Cd 0.6320 0.1586 0.5000  1 Cd 3.16, 1 Ag 3.21, 8 Pm 3.33-3.42
18 Cd 0.7875 0.9348 0.5000  1 Ag 3.23, 8 Pm 3.28-3.50, 1 Cd 3.34
19 Cd 0.8414 0.3680 0.5000  1 Cd 3.16, 1 Ag 3.21, 8 Pm 3.33-3.42
20 Cd 0.9348 0.7875 0.5000  1 Ag 3.23, 8 Pm 3.28-3.50, 1 Cd 3.34
21 Ag 0.2514 0.4480 0.5000  6 Pm 3.07, 3 Cd 3.18-3.23
22 Ag 0.4480 0.2514 0.5000  6 Pm 3.07, 3 Cd 3.18-3.23
23 Ag 0.5520 0.7486 0.5000  6 Pm 3.07, 3 Cd 3.18-3.23
24 Ag 0.7486 0.5520 0.5000  6 Pm 3.07, 3 Cd 3.18-3.23

Record 8
Below is PmCd2Ag4 after structural relaxation, with properties calculated at the PBE level.

Computed properties:
density of states at the Fermi level	6.2	states/eV per cell
total DFT energy (no corrections)	-38.72	eV/cell
formation enthalpy at 0 K	-0.196	eV per atom

abc: 9.1132 7.2052 5.6086
angles: 90.00 126.93 90.00
Last column: nearest neighbours and their distance in Å.
Fractional positions:
1 Pm 0.0000 0.0000 0.0000  12 Ag 3.14-3.45
2 Pm 0.5000 0.5000 0.0000  12 Ag 3.14-3.45
3 Cd 0.0015 0.5000 0.7521  2 Cd 2.80-2.81, 8 Ag 2.95-3.00
4 Cd 0.4985 0.0000 0.2479  2 Cd 2.80-2.81, 8 Ag 2.95-3.00
5 Cd 0.5015 0.0000 0.7521  2 Cd 2.80-2.81, 8 Ag 2.95-3.00
6 Cd 0.9985 0.5000 0.2479  2 Cd 2.80-2.81, 8 Ag 2.95-3.00
7 Ag 0.1928 0.1939 0.6926  4 Ag 2.79-3.05, 4 Cd 2.95-3.00
8 Ag 0.1928 0.8061 0.6926  4 Ag 2.79-3.05, 4 Cd 2.95-3.00
9 Ag 0.3072 0.3061 0.3074  4 Ag 2.79-3.05, 4 Cd 2.95-3.00
10 Ag 0.3072 0.6939 0.3074  4 Ag 2.79-3.05, 4 Cd 2.95-3.00
11 Ag 0.6928 0.3061 0.6926  4 Ag 2.79-3.05, 4 Cd 2.95-3.00
12 Ag 0.6928 0.6939 0.6926  4 Ag 2.79-3.05, 4 Cd 2.95-3.00
13 Ag 0.8072 0.1939 0.3074  4 Ag 2.79-3.05, 4 Cd 2.95-3.00
14 Ag 0.8072 0.8061 0.3074  4 Ag 2.79-3.05, 4 Cd 2.95-3.00

Record 9
Below is PmCd4Ag4 after structural relaxation, with properties calculated at the PBE level.

Computed properties:
density of states at the Fermi level	7.7	states/eV per cell
total DFT energy (no corrections)	-40.80	eV/cell
formation enthalpy at 0 K	-0.065	eV per atom

abc: 6.3110 6.3110 10.0850
angles: 90.00 90.00 90.00
Last column: nearest neighbours and their distance in Å.
Fractional positions:
1 Pm 0.2500 0.7500 0.2500  4 Ag 3.29, 8 Cd 3.53
2 Pm 0.7500 0.2500 0.7500  4 Ag 3.29, 8 Cd 3.53
3 Cd 0.0285 0.2500 0.1752  3 Cd 2.80-2.91, 5 Ag 2.85-2.98
4 Cd 0.2500 0.0285 0.6752  3 Cd 2.80-2.91, 5 Ag 2.85-2.98
5 Cd 0.2500 0.4715 0.6752  3 Cd 2.80-2.91, 5 Ag 2.85-2.98
6 Cd 0.4715 0.2500 0.1752  3 Cd 2.80-2.91, 5 Ag 2.85-2.98
7 Cd 0.5285 0.7500 0.8248  3 Cd 2.80-2.91, 5 Ag 2.85-2.98
8 Cd 0.7500 0.5285 0.3248  3 Cd 2.80-2.91, 5 Ag 2.85-2.98
9 Cd 0.7500 0.9715 0.3248  3 Cd 2.80-2.91, 5 Ag 2.85-2.98
10 Cd 0.9715 0.7500 0.8248  3 Cd 2.80-2.91, 5 Ag 2.85-2.98
11 Ag 0.0189 0.2500 0.4709  5 Cd 2.85-2.98, 1 Ag 2.92
12 Ag 0.2500 0.0189 0.9709  5 Cd 2.85-2.98, 1 Ag 2.92
13 Ag 0.2500 0.4811 0.9709  5 Cd 2.85-2.98, 1 Ag 2.92
14 Ag 0.4811 0.2500 0.4709  5 Cd 2.85-2.98, 1 Ag 2.92
15 Ag 0.5189 0.7500 0.5291  5 Cd 2.85-2.98, 1 Ag 2.92
16 Ag 0.7500 0.5189 0.0291  5 Cd 2.85-2.98, 1 Ag 2.92
17 Ag 0.7500 0.9811 0.0291  5 Cd 2.85-2.98, 1 Ag 2.92
18 Ag 0.9811 0.7500 0.5291  5 Cd 2.85-2.98, 1 Ag 2.92

Record 10
Below is PmCd2Ag6 after structural relaxation, with properties calculated at the PBE level.

Computed properties:
density of states at the Fermi level	3.7	states/eV per cell
total DFT energy (no corrections)	-23.94	eV/cell
formation enthalpy at 0 K	-0.028	eV per atom

abc: 8.3408 8.3408 8.3408
angles: 156.57 123.03 62.45
Last column: nearest neighbours and their distance in Å.
Fractional positions:
1 Pm 0.0000 0.0000 0.0000  12 Ag 3.11-3.35, 2 Pm 3.39
2 Cd 0.3540 0.8540 0.5000  10 Ag 2.91-3.10
3 Cd 0.6460 0.1460 0.5000  10 Ag 2.91-3.10
4 Ag 0.0021 0.3236 0.6785  4 Ag 2.78-2.93, 3 Cd 2.91-3.10
5 Ag 0.3279 0.5000 0.8279  3 Ag 2.74-2.78, 4 Cd 3.01
6 Ag 0.3548 0.6764 0.6785  4 Ag 2.78-2.93, 3 Cd 2.91-3.10
7 Ag 0.6452 0.3236 0.3215  4 Ag 2.78-2.93, 3 Cd 2.91-3.10
8 Ag 0.6721 0.5000 0.1721  3 Ag 2.74-2.78, 4 Cd 3.01
9 Ag 0.9979 0.6764 0.3215  4 Ag 2.78-2.93, 3 Cd 2.91-3.10

Record 11
Below is Pm2Cd5Ag12 after structural relaxation, with properties calculated at the PBE level.

Computed properties:
density of states at the Fermi level	11.0	states/eV per cell
total DFT energy (no corrections)	-50.24	eV/cell
formation enthalpy at 0 K	-0.102	eV per atom

abc: 7.4093 7.4093 7.4093
angles: 82.43 82.43 82.43
Last column: nearest neighbours and their distance in Å.
Fractional positions:
1 Pm 0.1463 0.1463 0.1463  12 Ag 3.34-3.59, 1 Cd 3.64
2 Pm 0.8537 0.8537 0.8537  12 Ag 3.34-3.59, 1 Cd 3.64
3 Cd 0.0000 0.5000 0.5000  8 Ag 2.85-2.86, 2 Cd 2.97
4 Cd 0.3988 0.3988 0.3988  4 Cd 2.92-2.97, 3 Ag 3.11
5 Cd 0.5000 0.0000 0.5000  8 Ag 2.85-2.86, 2 Cd 2.97
6 Cd 0.5000 0.5000 0.0000  8 Ag 2.85-2.86, 2 Cd 2.97
7 Cd 0.6012 0.6012 0.6012  4 Cd 2.92-2.97, 3 Ag 3.11
8 Ag 0.1484 0.1484 0.6610  6 Ag 2.78-3.03, 3 Cd 2.86-3.11
9 Ag 0.1484 0.6610 0.1484  6 Ag 2.78-3.03, 3 Cd 2.86-3.11
10 Ag 0.1899 0.5000 0.8101  2 Cd 2.85, 6 Ag 2.88-3.03
11 Ag 0.1899 0.8101 0.5000  2 Cd 2.85, 6 Ag 2.88-3.03
12 Ag 0.3390 0.8516 0.8516  6 Ag 2.78-3.03, 3 Cd 2.86-3.11
13 Ag 0.5000 0.1899 0.8101  2 Cd 2.85, 6 Ag 2.88-3.03
14 Ag 0.5000 0.8101 0.1899  2 Cd 2.85, 6 Ag 2.88-3.03
15 Ag 0.6610 0.1484 0.1484  6 Ag 2.78-3.03, 3 Cd 2.86-3.11
16 Ag 0.8101 0.1899 0.5000  2 Cd 2.85, 6 Ag 2.88-3.03
17 Ag 0.8101 0.5000 0.1899  2 Cd 2.85, 6 Ag 2.88-3.03
18 Ag 0.8516 0.3390 0.8516  6 Ag 2.78-3.03, 3 Cd 2.86-3.11
19 Ag 0.8516 0.8516 0.3390  6 Ag 2.78-3.03, 3 Cd 2.86-3.11

Record 12
Below is Pm2Cd3Ag3 after structural relaxation, with properties calculated at the PBE level.

Computed properties:
density of states at the Fermi level	5.9	states/eV per cell
total DFT energy (no corrections)	-23.08	eV/cell
formation enthalpy at 0 K	-0.285	eV per atom

abc: 8.7221 8.7221 8.7221
angles: 33.74 33.74 33.74
Last column: nearest neighbours and their distance in Å.
Fractional positions:
1 Pm 0.0000 0.0000 0.0000  7 Ag 3.06-3.13, 1 Cd 3.13
2 Pm 0.4951 0.4951 0.4951  5 Ag 3.06-3.12, 3 Cd 3.12
3 Cd 0.2488 0.2488 0.2488  5 Ag 3.00-3.08, 3 Cd 3.10
4 Cd 0.7462 0.7462 0.7462  7 Ag 3.07-3.13, 1 Cd 3.13
5 Cd 0.8732 0.8732 0.8732  4 Cd 3.10-3.13, 4 Pm 3.12-3.13
6 Ag 0.1252 0.1252 0.1252  4 Cd 3.05-3.13, 4 Pm 3.06-3.09
7 Ag 0.3703 0.3703 0.3703  4 Cd 3.00-3.11, 4 Pm 3.06-3.08
8 Ag 0.6218 0.6218 0.6218  4 Cd 3.07-3.08, 4 Pm 3.12-3.13